(1)
La4MgOs2: relaxed, PBE.

```
La4MgOs2
1.0
-1.680 3.078 3.384
2.041 0.107 4.424
6.523 7.986 -0.517
La Mg Os
4 1 2
Cartesian
5.500 7.811 2.643 La
2.599 3.742 1.395 La
4.285 7.429 5.896 La
1.384 3.360 4.648 La
0.000 0.000 0.000 Mg
4.691 6.005 0.375 Os
2.193 5.166 6.916 Os
```

Computed properties:
Formation energy from the elements, eV/atom: -0.08
V, Å³/atom: 29.2
E_tot, eV/atom: -6.327
Space group: R-3m
N(E_F), states/eV per cell: 4.836
Crystal system: trigonal

(2)
La3MgOs: relaxed, PBE.

```
La3MgOs
1.0
6.027 0.000 0.000
0.000 6.027 0.000
3.014 3.014 9.759
Mg Os La
2 2 6
Cartesian
6.027 3.014 8.918 Mg
6.027 3.014 0.841 Mg
0.000 0.000 0.000 Os
3.014 6.027 4.880 Os
4.507 6.027 2.276 La
3.014 4.534 7.483 La
3.014 7.520 7.483 La
1.520 6.027 2.276 La
3.014 3.014 4.280 La
6.027 6.027 5.480 La
```

Computed properties:
Formation energy from the elements, eV/atom: 0.33
V, Å³/atom: 35.5
E_tot, eV/atom: -5.187
Space group: I-4m2
Distance to the lowest polymorph of the same formula, meV/atom: 459.6
N(E_F), states/eV per cell: 11.250
Crystal system: tetragonal

(3)
La6MgOs2: relaxed, PBE.

```
La6MgOs2
1.0
-4.058 -1.355 -2.335
0.299 -2.344 5.928
-4.235 8.347 2.517
La Mg Os
6 1 2
Cartesian
-3.990 6.644 3.079 La
-3.154 0.052 0.364 La
-4.841 4.596 5.746 La
-5.342 3.185 2.348 La
-2.653 1.462 3.762 La
-4.004 -1.997 3.031 La
-2.118 4.173 1.258 Mg
-6.624 5.265 3.369 Os
-1.371 -0.617 2.740 Os
```

Computed properties:
Formation energy from the elements, eV/atom: -0.08
V, Å³/atom: 30.8
E_tot, eV/atom: -6.036
Space group: C2/m
N(E_F), states/eV per cell: 9.579
Crystal system: monoclinic

(4)
La3MgOs: relaxed, PBE.

```
La3MgOs
1.0
4.854 0.000 5.177
-2.427 4.204 5.177
-2.427 -4.204 5.177
Mg Os La
2 2 6
Cartesian
0.000 0.000 1.142 Mg
0.000 0.000 8.907 Mg
0.000 0.000 4.070 Os
0.000 0.000 11.835 Os
-3.126 1.518 8.521 La
0.450 2.256 5.933 La
-2.179 -0.738 5.933 La
1.729 -1.518 5.933 La
2.878 1.948 8.521 La
0.248 -3.466 8.521 La
```

Computed properties:
Formation energy from the elements, eV/atom: -0.05
V, Å³/atom: 31.7
E_tot, eV/atom: -5.574
Space group: R3c
Distance to the lowest polymorph of the same formula, meV/atom: 72.9
N(E_F), states/eV per cell: 12.770
Crystal system: trigonal

(5)
La2MgOs: relaxed, PBE.

```
La2MgOs
1.0
4.173 0.003 0.010
2.084 3.615 0.010
2.054 1.188 8.660
La Mg Os
2 1 1
Cartesian
6.254 3.616 0.659 La
4.159 2.405 3.702 La
6.233 3.604 6.511 Mg
2.078 1.201 2.170 Os
```

Computed properties:
Formation energy from the elements, eV/atom: 0.02
V, Å³/atom: 32.6
E_tot, eV/atom: -5.648
Space group: C2/m
N(E_F), states/eV per cell: 2.243
Crystal system: monoclinic

(6)
La3MgOs: relaxed, PBE.

```
La3MgOs
1.0
10.461 -0.931 0.191
4.454 -8.227 4.777
4.714 -7.462 -5.696
Mg Os La
4 4 12
Cartesian
2.454 -2.077 -0.091 Mg
4.681 -6.191 2.298 Mg
7.684 -2.543 0.005 Mg
4.810 -5.808 -2.939 Mg
12.268 -10.387 -0.455 Os
10.041 -6.274 -2.844 Os
7.038 -9.922 -0.551 Os
9.911 -6.657 2.393 Os
10.069 -5.404 -0.145 La
14.977 -9.559 -0.327 La
12.713 -12.131 -2.646 La
14.467 -15.370 -0.765 La
16.833 -12.498 -2.570 La
11.925 -8.343 -2.388 La
12.611 -12.432 1.478 La
16.730 -12.799 1.554 La
7.704 -8.277 1.660 La
9.560 -11.215 -0.583 La
7.806 -7.976 -2.464 La
11.823 -8.644 1.736 La
```

Computed properties:
Formation energy from the elements, eV/atom: 0.13
V, Å³/atom: 41.0
E_tot, eV/atom: -5.390
Space group: Fd-3m
Distance to the lowest polymorph of the same formula, meV/atom: 256.7
N(E_F), states/eV per cell: 24.625
Crystal system: cubic

(7)
LaMg2OsPd: relaxed, PBE.

```
LaMg2OsPd
1.0
4.790 0.000 0.000
0.000 5.479 0.000
0.000 0.000 4.790
Mg Os Pd La
2 1 1 1
Cartesian
0.000 0.000 2.395 Mg
2.395 0.000 0.000 Mg
2.395 2.739 2.395 Os
0.000 0.000 0.000 Pd
0.000 2.739 0.000 La
```

Computed properties:
Formation energy from the elements, eV/atom: 0.51
V, Å³/atom: 25.1
E_tot, eV/atom: -4.396
Space group: P4/mmm
N(E_F), states/eV per cell: 3.492
Crystal system: tetragonal

(8)
LaPmMgOs: relaxed, PBE.

```
LaPmMgOs
1.0
-3.104 3.488 -2.256
-1.537 -0.686 -4.905
-4.938 -1.204 -1.026
Mg La Os Pm
1 1 1 1
Cartesian
0.000 0.000 0.000 Mg
-2.395 0.400 -2.047 La
-4.789 0.799 -4.093 Os
-7.184 1.199 -6.140 Pm
```

Computed properties:
Formation energy from the elements, eV/atom: 0.01
V, Å³/atom: 24.6
E_tot, eV/atom: -5.611
Space group: F-43m
N(E_F), states/eV per cell: 4.020
Crystal system: cubic

(9)
LaPrMgOs: relaxed, PBE.

```
LaPrMgOs
1.0
5.221 0.000 0.000
2.611 4.522 0.000
2.611 1.507 4.263
Pr Mg Os La
1 1 1 1
Cartesian
5.221 3.015 2.132 Pr
7.832 4.522 3.197 Mg
2.611 1.507 1.066 Os
0.000 0.000 0.000 La
```

Computed properties:
Formation energy from the elements, eV/atom: 0.05
V, Å³/atom: 25.2
E_tot, eV/atom: -5.586
Space group: F-43m
N(E_F), states/eV per cell: 4.419
Crystal system: cubic

(10)
La2MgReOs: relaxed, PBE.

```
La2MgReOs
1.0
5.483 0.000 0.000
0.000 4.546 0.000
0.000 0.000 5.483
Re Mg Os La
1 1 1 2
Cartesian
0.000 2.273 0.000 Re
0.000 0.000 0.000 Mg
2.742 2.273 2.742 Os
0.000 0.000 2.742 La
2.742 0.000 0.000 La
```

Computed properties:
Formation energy from the elements, eV/atom: 1.76
V, Å³/atom: 27.3
E_tot, eV/atom: -5.266
Space group: P4/mmm
N(E_F), states/eV per cell: 5.757
Crystal system: tetragonal

(11)
LaMgSbOs2: relaxed, PBE.

```
LaMgSbOs2
1.0
4.929 0.000 0.000
0.000 5.694 0.000
0.000 0.000 4.929
Sb Mg Os La
1 1 2 1
Cartesian
0.000 0.000 0.000 Sb
2.465 2.847 2.465 Mg
0.000 0.000 2.465 Os
2.465 0.000 0.000 Os
0.000 2.847 0.000 La
```

Computed properties:
V, Å³/atom: 27.7
E_tot, eV/atom: -5.259
ΔE_f (raw), eV/atom: 1.3620
Space group: P4/mmm
N(E_F), states/eV per cell: 4.867
Crystal system: tetragonal

(12)
LaMgSi2Os2: relaxed, PBE.

```
LaMgSi2Os2
1.0
4.269 0.000 0.000
-2.135 3.697 0.000
0.000 0.000 6.937
La Mg Si Os
1 1 2 2
Cartesian
0.000 0.000 0.000 La
0.000 0.000 3.469 Mg
0.000 2.465 2.046 Si
2.135 1.232 4.891 Si
0.000 2.465 4.507 Os
2.135 1.232 2.430 Os
```

Computed properties:
V, Å³/atom: 18.2
E_tot, eV/atom: -7.105
ΔE_f (raw), eV/atom: -0.4673
Space group: P-3m1
N(E_F), states/eV per cell: 1.823
Crystal system: trigonal